Crystalline Ce2MgTi at its relaxed geometry. Source: Alexandria via LeMat-Bulk, functional GGA-PBE.

Calculated values
Relative energy among the computed polymorphs: 0.098 eV per atom
Total moment: 0.07 μB per cell
E_tot: -5.14 eV per atom
Space group: No. 123

Lattice parameters (Å, degrees): 4.7727 4.4460 4.4460 90.00 90.00 90.00
Element x y z (fractional)
1 Mg 0.5000 0.5000 0.5000
2 Ce 0.0000 0.0000 0.5000
3 Ce 0.0000 0.5000 0.0000
4 Ti 0.5000 0.0000 0.0000

Crystalline Ce2MgTi at its relaxed geometry. Source: Alexandria via LeMat-Bulk, functional GGA-PBE.

Calculated values
Relative energy among the computed polymorphs: 0.000 eV per atom
Total moment: 0.01 μB per cell
E_tot: -5.24 eV per atom
Space group: No. 123

Lattice parameters (Å, degrees): 3.0801 3.0801 10.0467 90.00 90.00 90.00
Element x y z (fractional)
1 Mg 0.5000 0.5000 0.5000
2 Ce 0.0000 0.0000 0.7691
3 Ce 0.0000 0.0000 0.2309
4 Ti 0.5000 0.5000 0.0000

Crystalline CeTmMgTi at its relaxed geometry. Source: Alexandria via LeMat-Bulk, functional GGA-PBE.

Calculated values
Total moment: 2.34 μB per cell
E_tot: -4.82 eV per atom
Space group: No. 216

Lattice parameters (Å, degrees): 5.2177 5.2177 5.2177 60.00 60.00 60.00
Element x y z (fractional)
1 Mg 0.7500 0.7500 0.7500
2 Tm 0.5000 0.5000 0.5000
3 Ce 0.0000 0.0000 0.0000
4 Ti 0.2500 0.2500 0.2500

Crystalline CeMg2Tl4 at its relaxed geometry. Source: Alexandria via LeMat-Bulk, functional GGA-PBE.

Calculated values
Total moment: 0.80 μB per cell
E_tot: -2.79 eV per atom
Space group: No. 123

Lattice parameters (Å, degrees): 5.0941 5.0941 7.4649 90.00 90.00 90.00
Element x y z (fractional)
1 Ce 0.5000 0.5000 0.0000
2 Mg 0.0000 0.0000 0.0000
3 Mg 0.5000 0.5000 0.5000
4 Tl 0.5000 0.0000 0.2792
5 Tl 0.0000 0.5000 0.7208
6 Tl 0.5000 0.0000 0.7208
7 Tl 0.0000 0.5000 0.2792

Crystalline Ce4MgTl at its relaxed geometry. Source: Alexandria via LeMat-Bulk, functional GGA-PBE.

Calculated values
Total moment: 1.68 μB per cell
E_tot: -4.69 eV per atom
Space group: No. 71

Lattice parameters (Å, degrees): 5.5501 6.1162 6.1162 95.69 63.01 63.01
Element x y z (fractional)
1 Ce 0.7379 0.6111 0.9133
2 Ce 0.7379 0.9133 0.6111
3 Ce 0.2620 0.3889 0.0867
4 Ce 0.2620 0.0867 0.3889
5 Mg 0.0000 0.0000 0.0000
6 Tl 0.5000 0.5000 0.5000

Crystalline Ce2Mg12Tl7 at its relaxed geometry. Source: Alexandria via LeMat-Bulk, functional GGA-PBE.

Calculated values
Total moment: 2.01 μB per cell
E_tot: -2.35 eV per atom
Space group: No. 147

Lattice parameters (Å, degrees): 4.5130 11.6789 11.6789 120.00 90.00 90.00
Element x y z (fractional)
1 Ce 0.2605 0.3333 0.6667
2 Ce 0.7395 0.6667 0.3333
3 Mg 0.2505 0.6110 0.0382
4 Mg 0.2505 0.4272 0.3890
5 Mg 0.2505 0.9618 0.5728
6 Mg 0.7495 0.3890 0.9618
7 Mg 0.7495 0.5728 0.6110
8 Mg 0.7495 0.0382 0.4272
9 Mg 0.2456 0.1070 0.2673
10 Mg 0.2456 0.1603 0.8930
11 Mg 0.2456 0.7327 0.8397
12 Mg 0.7544 0.8930 0.7327
13 Mg 0.7544 0.8397 0.1070
14 Mg 0.7544 0.2673 0.1603
15 Tl 0.5000 0.0000 0.0000
16 Tl 0.2473 0.8584 0.2888
17 Tl 0.2473 0.4304 0.1416
18 Tl 0.2473 0.7112 0.5696
19 Tl 0.7527 0.1416 0.7112
20 Tl 0.7527 0.5696 0.8584
21 Tl 0.7527 0.2888 0.4304

Crystalline Ce5Mg3Tl3 at its relaxed geometry. Source: Alexandria via LeMat-Bulk, functional GGA-PBE.

Calculated values
Total moment: 7.53 μB per cell
E_tot: -3.58 eV per atom
Space group: No. 189

Lattice parameters (Å, degrees): 3.2171 10.5920 10.5920 120.00 90.00 90.00
Element x y z (fractional)
1 Ce 0.5000 0.6667 0.3333
2 Ce 0.5000 0.3333 0.6667
3 Ce 0.5000 0.3522 0.0000
4 Ce 0.5000 0.6478 0.6478
5 Ce 0.5000 0.0000 0.3522
6 Mg 0.5000 0.8441 0.0000
7 Mg 0.5000 0.1559 0.1559
8 Mg 0.5000 0.0000 0.8441
9 Tl 0.0000 0.6156 0.0000
10 Tl 0.0000 0.0000 0.6156
11 Tl 0.0000 0.3844 0.3844

Crystalline Ce6Mg15Tl8 at its relaxed geometry. Source: Alexandria via LeMat-Bulk, functional GGA-PBE.

Calculated values
Total moment: 4.60 μB per cell
E_tot: -2.80 eV per atom
Space group: No. 225

Lattice parameters (Å, degrees): 10.2885 10.2885 10.2885 60.00 60.00 60.00
Element x y z (fractional)
1 Ce 0.7740 0.7740 0.2260
2 Ce 0.2260 0.2260 0.7740
3 Ce 0.7740 0.2260 0.2260
4 Ce 0.2260 0.7740 0.7740
5 Ce 0.7740 0.2260 0.7740
6 Ce 0.2260 0.7740 0.2260
7 Mg 0.8690 0.3770 0.3770
8 Mg 0.1310 0.6230 0.6230
9 Mg 0.3770 0.3770 0.8690
10 Mg 0.3770 0.3770 0.3770
11 Mg 0.6230 0.6230 0.1310
12 Mg 0.6230 0.6230 0.6230
13 Mg 0.3770 0.8690 0.3770
14 Mg 0.6230 0.1310 0.6230
15 Mg 0.5000 0.5000 0.0000
16 Mg 0.0000 0.0000 0.5000
17 Mg 0.5000 0.0000 0.0000
18 Mg 0.0000 0.5000 0.5000
19 Mg 0.5000 0.0000 0.5000
20 Mg 0.0000 0.5000 0.0000
21 Mg 0.0000 0.0000 0.0000
22 Tl 0.5626 0.1458 0.1458
23 Tl 0.4374 0.8542 0.8542
24 Tl 0.1458 0.1458 0.5626
25 Tl 0.1458 0.1458 0.1458
26 Tl 0.8542 0.8542 0.4374
27 Tl 0.8542 0.8542 0.8542
28 Tl 0.1458 0.5626 0.1458
29 Tl 0.8542 0.4374 0.8542

no.,ΔE_f (kJ/mol of atoms)
1,19
2,10
3,15
4,-13
5,-7
6,-8
7,19
8,-9